No. 1
The following is a DFT calculation (PBE) of a relaxed CsWSe2Cl crystal.

Formation energy from raw total energies ... -139 kJ/mol of formula units
Total magnetization ... 0.310 μB/atom
DFT total energy ... -4.81 eV/atom

```
data_CsWSe2Cl
_chemical_formula_sum 'Cs1 W1 Se2 Cl1'
_cell_length_a 4.840
_cell_length_b 4.840
_cell_length_c 9.742
_cell_angle_alpha 90.00
_cell_angle_beta 90.00
_cell_angle_gamma 90.00
_space_group_name_H-M_alt 'P 4/m m m'
_space_group_IT_number 123
_space_group_name_Hall '-P 4 2'
loop_
_atom_site_label
_atom_site_type_symbol
_atom_site_fract_x
_atom_site_fract_y
_atom_site_fract_z
Cs1 Cs 0.000 0.000 0.000
W1 W 0.000 0.000 0.500
Se1 Se 0.000 0.500 0.500
Cl1 Cl 0.500 0.500 0.000
```



No. 2
The following is a DFT calculation (PBE) of a relaxed CsYSe2Cl crystal.

Formation energy from raw total energies ... -743 kJ/mol of formula units
Total magnetization ... 0.084 μB/atom
DFT total energy ... -4.77 eV/atom

```
data_CsYSe2Cl
_chemical_formula_sum 'Cs1 Y1 Se2 Cl1'
_cell_length_a 5.555
_cell_length_b 5.555
_cell_length_c 5.539
_cell_angle_alpha 90.00
_cell_angle_beta 90.00
_cell_angle_gamma 90.00
_space_group_name_H-M_alt 'P 4/m m m'
_space_group_IT_number 123
_space_group_name_Hall '-P 4 2'
loop_
_atom_site_label
_atom_site_type_symbol
_atom_site_fract_x
_atom_site_fract_y
_atom_site_fract_z
Cs1 Cs 0.000 0.000 0.000
Y1 Y 0.500 0.500 0.500
Se1 Se 0.000 0.500 0.500
Cl1 Cl 0.500 0.500 0.000
```